## i
CoAgC2 | PBE-GGA | relaxed

Cell lengths 5.5188, 5.5188, 5.5188 Å; angles 128.96, 128.96, 75.08 degrees
Atoms (fractional coordinates):
Co 0.0000 0.0000 0.0000
Co 0.7500 0.2500 0.5000
Ag 0.2500 0.7500 0.5000
Ag 0.5000 0.5000 0.0000
C 0.0443 0.6250 0.9193
C 0.3750 0.2943 0.4193
C 0.7057 0.1250 0.0807
C 0.8750 0.9557 0.5807

## ii
CoAgC2 | PBE-GGA | relaxed

Cell lengths 3.8333, 3.8333, 3.8333 Å; angles 60.00, 60.00, 60.00 degrees
Atoms (fractional coordinates):
Co 0.0000 0.0000 0.0000
Ag 0.5000 0.5000 0.5000
C 0.2500 0.2500 0.2500
C 0.7500 0.7500 0.7500

It comes down to i, which is 819 meV/atom more stable than the next structure.

## i
Co3AgC | PBE-GGA | relaxed

Cell lengths 3.8202, 3.8202, 3.8202 Å; angles 90.00, 90.00, 90.00 degrees
Atoms (fractional coordinates):
Co 0.0000 0.0000 0.5000
Co 0.0000 0.5000 0.0000
Co 0.5000 0.0000 0.0000
Ag 0.5000 0.5000 0.5000
C 0.0000 0.0000 0.0000

## ii
Co3AgC | PBE-GGA | relaxed

Cell lengths 4.6216, 4.6216, 4.6216 Å; angles 90.00, 90.00, 90.00 degrees
Atoms (fractional coordinates):
Co 0.0000 0.0000 0.5000
Co 0.0000 0.5000 0.0000
Co 0.5000 0.0000 0.0000
Ag 0.0000 0.0000 0.0000
C 0.5000 0.5000 0.5000

It comes down to i, which is 2681 meV/atom more stable than the next structure.

## i
Y2CoAgC | PBE-GGA | relaxed

Cell lengths 5.0345, 5.0345, 3.6524 Å; angles 90.00, 90.00, 90.00 degrees
Atoms (fractional coordinates):
Y 0.0000 0.5000 0.0000
Y 0.5000 0.0000 0.0000
Co 0.0000 0.0000 0.5000
Ag 0.5000 0.5000 0.5000
C 0.0000 0.0000 0.0000

## ii
Y2CoAgC | PBE-GGA | relaxed

Cell lengths 5.5012, 5.5012, 3.8475 Å; angles 90.00, 90.00, 90.00 degrees
Atoms (fractional coordinates):
Y 0.0000 0.5000 0.0000
Y 0.5000 0.0000 0.0000
Co 0.0000 0.0000 0.5000
Ag 0.5000 0.5000 0.0000
C 0.5000 0.5000 0.5000

It comes down to i, which is 1488 meV/atom more stable than the next structure.

## i
CsAgC2 | PBE-GGA | relaxed

Cell lengths 4.7144, 4.7144, 4.7144 Å; angles 60.00, 60.00, 60.00 degrees
Atoms (fractional coordinates):
Cs 0.0000 0.0000 0.0000
Ag 0.5000 0.5000 0.5000
C 0.2500 0.2500 0.2500
C 0.7500 0.7500 0.7500

## ii
CsAgC2 | PBE-GGA | relaxed

Cell lengths 5.3194, 5.3194, 9.0360 Å; angles 90.00, 90.00, 90.00 degrees
Atoms (fractional coordinates):
Cs 0.0000 0.0000 0.2500
Cs 0.0000 0.0000 0.7500
Ag 0.5000 0.5000 0.0000
Ag 0.5000 0.5000 0.5000
C 0.1175 0.5000 0.0000
C 0.5000 0.1175 0.5000
C 0.5000 0.8825 0.5000
C 0.8825 0.5000 0.0000

It comes down to ii, which is 2608 meV/atom more stable than the next structure.

## i
CuAgC2 | PBE-GGA | relaxed

Cell lengths 3.9339, 3.9339, 3.9339 Å; angles 60.00, 60.00, 60.00 degrees
Atoms (fractional coordinates):
Cu 0.0000 0.0000 0.0000
Ag 0.5000 0.5000 0.5000
C 0.2500 0.2500 0.2500
C 0.7500 0.7500 0.7500

## ii
CuAgC2 | PBE-GGA | relaxed

Cell lengths 7.4576, 7.4576, 7.4576 Å; angles 151.41, 151.41, 40.87 degrees
Atoms (fractional coordinates):
Cu 0.3750 0.6250 0.7500
Cu 0.6250 0.3750 0.2500
Ag 0.1250 0.8750 0.2500
Ag 0.8750 0.1250 0.7500
C 0.0000 0.5000 0.5000
C 0.5000 0.0000 0.0000
C 0.5000 0.5000 0.0000
C 0.5000 0.5000 0.5000

It comes down to ii, which is 393 meV/atom more stable than the next structure.

## i
Cu3AgC | PBE-GGA | relaxed

Cell lengths 4.6963, 4.6963, 4.6963 Å; angles 90.00, 90.00, 90.00 degrees
Atoms (fractional coordinates):
Cu 0.0000 0.0000 0.5000
Cu 0.0000 0.5000 0.0000
Cu 0.5000 0.0000 0.0000
Ag 0.0000 0.0000 0.0000
C 0.5000 0.5000 0.5000

## ii
Cu3AgC | PBE-GGA | relaxed

Cell lengths 3.9317, 3.9317, 3.9317 Å; angles 90.00, 90.00, 90.00 degrees
Atoms (fractional coordinates):
Cu 0.0000 0.0000 0.5000
Cu 0.0000 0.5000 0.0000
Cu 0.5000 0.0000 0.0000
Ag 0.5000 0.5000 0.5000
C 0.0000 0.0000 0.0000

It comes down to ii, which is 1919 meV/atom more stable than the next structure.

## i
Dy2AgC | PBE-GGA | relaxed

Cell lengths 6.2932, 3.6428, 7.7291 Å; angles 90.00, 106.16, 90.00 degrees
Atoms (fractional coordinates):
Dy 0.0195 0.2500 0.3153
Dy 0.4758 0.2500 0.6755
Dy 0.5242 0.7500 0.3245
Dy 0.9805 0.7500 0.6847
Ag 0.2859 0.2500 0.0013
Ag 0.7141 0.7500 0.9987
C 0.2457 0.7500 0.4963
C 0.7543 0.2500 0.5037

## ii
Dy2AgC | PBE-GGA | relaxed

Cell lengths 7.6039, 7.6039, 7.6039 Å; angles 27.74, 27.74, 27.74 degrees
Atoms (fractional coordinates):
Dy 0.0000 0.0000 0.0000
Dy 0.2113 0.2113 0.2113
Ag 0.4383 0.4383 0.4383
C 0.6042 0.6042 0.6042

It comes down to ii, which is 13 meV/atom more stable than the next structure.

## i
Dy4AgC2 | PBE-GGA | relaxed

Cell lengths 13.8155, 13.8155, 13.8155 Å; angles 15.01, 15.01, 15.01 degrees
Atoms (fractional coordinates):
Dy 0.1238 0.1238 0.1238
Dy 0.2751 0.2751 0.2751
Dy 0.7249 0.7249 0.7249
Dy 0.8762 0.8762 0.8762
Ag 0.0000 0.0000 0.0000
C 0.4240 0.4240 0.4240
C 0.5760 0.5760 0.5760

## ii
Dy4AgC2 | PBE-GGA | relaxed

Cell lengths 6.4323, 6.4323, 13.0237 Å; angles 90.00, 90.00, 146.91 degrees
Atoms (fractional coordinates):
Dy 0.0000 0.0000 0.0000
Dy 0.0000 0.0000 0.5000
Dy 0.2640 0.7360 0.6032
Dy 0.2640 0.7360 0.8968
Dy 0.4209 0.5791 0.2500
Dy 0.5791 0.4209 0.7500
Dy 0.7360 0.2640 0.1032
Dy 0.7360 0.2640 0.3968
Ag 0.1116 0.8884 0.2500
Ag 0.8884 0.1116 0.7500
C 0.3644 0.6356 0.0604
C 0.3644 0.6356 0.4396
C 0.6356 0.3644 0.5604
C 0.6356 0.3644 0.9396

It comes down to i, which is 34 meV/atom more stable than the next structure.

## i
AgC3F | PBE-GGA | relaxed

Cell lengths 4.1891, 4.1891, 4.1891 Å; angles 90.00, 90.00, 90.00 degrees
Atoms (fractional coordinates):
Ag 0.0000 0.0000 0.0000
C 0.0000 0.0000 0.5000
C 0.0000 0.5000 0.0000
C 0.5000 0.0000 0.0000
F 0.5000 0.5000 0.5000

## ii
AgC3F | PBE-GGA | relaxed

Cell lengths 3.8269, 3.8269, 3.8269 Å; angles 90.00, 90.00, 90.00 degrees
Atoms (fractional coordinates):
Ag 0.0000 0.0000 0.0000
C 0.0000 0.5000 0.5000
C 0.5000 0.0000 0.5000
C 0.5000 0.5000 0.0000
F 0.5000 0.5000 0.5000

It comes down to ii, which is 111 meV/atom more stable than the next structure.

## i
AgC2F | PBE-GGA | relaxed

Cell lengths 6.4426, 6.4426, 6.4426 Å; angles 139.52, 139.52, 58.59 degrees
Atoms (fractional coordinates):
Ag 0.0000 0.0000 0.0000
Ag 0.7500 0.2500 0.5000
C 0.1130 0.6250 0.9880
C 0.3750 0.3630 0.4880
C 0.6370 0.1250 0.0120
C 0.8750 0.8870 0.5120
F 0.2500 0.7500 0.5000
F 0.5000 0.5000 0.0000

## ii
AgC2F | PBE-GGA | relaxed

Cell lengths 3.9002, 3.9002, 3.9002 Å; angles 60.00, 60.00, 60.00 degrees
Atoms (fractional coordinates):
Ag 0.0000 0.0000 0.0000
C 0.2500 0.2500 0.2500
C 0.7500 0.7500 0.7500
F 0.5000 0.5000 0.5000

It comes down to i, which is 84 meV/atom more stable than the next structure.

## i
AgCOF2 | PBE-GGA | relaxed

Cell lengths 4.4067, 4.4067, 2.8128 Å; angles 90.00, 90.00, 90.00 degrees
Atoms (fractional coordinates):
Ag 0.0000 0.0000 0.0000
C 0.5000 0.5000 0.5000
O 0.5000 0.5000 0.0000
F 0.0000 0.5000 0.5000
F 0.5000 0.0000 0.5000

## ii
AgCOF2 | PBE-GGA | relaxed

Cell lengths 4.1703, 4.1703, 4.1499 Å; angles 90.00, 90.00, 90.00 degrees
Atoms (fractional coordinates):
Ag 0.0000 0.0000 0.0000
C 0.5000 0.5000 0.5000
O 0.0000 0.0000 0.5000
F 0.0000 0.5000 0.0000
F 0.5000 0.0000 0.0000

It comes down to i, which is 982 meV/atom more stable than the next structure.

## i
Zr2FeAgC | PBE-GGA | relaxed

Cell lengths 4.6450, 4.6450, 4.6615 Å; angles 90.00, 90.00, 90.00 degrees
Atoms (fractional coordinates):
Zr 0.0000 0.5000 0.0000
Zr 0.5000 0.0000 0.0000
Fe 0.0000 0.0000 0.0000
Ag 0.0000 0.0000 0.5000
C 0.5000 0.5000 0.5000

## ii
Zr2FeAgC | PBE-GGA | relaxed

Cell lengths 4.6582, 4.6582, 3.6995 Å; angles 90.00, 90.00, 90.00 degrees
Atoms (fractional coordinates):
Zr 0.0000 0.5000 0.0000
Zr 0.5000 0.0000 0.0000
Fe 0.0000 0.0000 0.5000
Ag 0.5000 0.5000 0.5000
C 0.0000 0.0000 0.0000

It comes down to ii, which is 1766 meV/atom more stable than the next structure.

## i
Ga2AgC2 | PBE-GGA | relaxed

Cell lengths 5.6745, 5.6745, 5.6745 Å; angles 142.35, 142.35, 54.30 degrees
Atoms (fractional coordinates):
Ga 0.1380 0.1380 0.0000
Ga 0.8620 0.8620 0.0000
Ag 0.5000 0.5000 0.0000
C 0.2500 0.7500 0.5000
C 0.7500 0.2500 0.5000

## ii
Ga2AgC2 | PBE-GGA | relaxed

Cell lengths 6.7421, 6.7421, 2.8093 Å; angles 90.00, 90.00, 90.00 degrees
Atoms (fractional coordinates):
Ga 0.1397 0.3603 0.0000
Ga 0.3603 0.8603 0.0000
Ga 0.6397 0.1397 0.0000
Ga 0.8603 0.6397 0.0000
Ag 0.0000 0.0000 0.0000
Ag 0.5000 0.5000 0.0000
C 0.1598 0.6598 0.5000
C 0.3402 0.1598 0.5000
C 0.6598 0.8402 0.5000
C 0.8402 0.3402 0.5000

It comes down to i, which is 248 meV/atom more stable than the next structure.